1.
Compound: SrReO2
Source: Alexandria via LeMat-Bulk
Functional: PBE-GGA
Structure: optimized geometry

Properties
raw total energy	-113.909	eV per cell
SG	No. 122
E above lowest polymorph	247	meV/atom
total magnetization	0.00	μB/f.u.
crystal system	tetragonal
formation energy (no corrections)	-1.108	eV/atom

POSCAR file:
```
SrReO2
1.0
4.694 0.000 0.000
0.000 4.694 0.000
0.000 0.000 11.942
Sr Re O
4 4 8
Direct
0.000 0.000 0.000
0.000 0.500 0.250
0.500 0.000 0.750
0.500 0.500 0.500
0.000 0.000 0.500
0.000 0.500 0.750
0.500 0.000 0.250
0.500 0.500 0.000
0.127 0.250 0.625
0.250 0.627 0.875
0.250 0.873 0.375
0.373 0.250 0.125
0.627 0.750 0.125
0.750 0.127 0.375
0.750 0.373 0.875
0.873 0.750 0.625
```

---

2.
Compound: Be2Co2Ru
Source: Alexandria via LeMat-Bulk
Functional: PBE-GGA
Structure: optimized geometry

Properties
raw total energy	-58.851	eV per cell
SG	No. 139
E above lowest polymorph	461	meV/atom
total magnetization	0.05	μB/f.u.
crystal system	tetragonal

POSCAR file:
```
Be2Co2Ru
1.0
3.697 0.000 0.000
0.000 3.697 0.000
0.000 0.000 7.659
Be Co Ru
4 4 2
Direct
0.000 0.500 0.250
0.000 0.500 0.750
0.500 0.000 0.250
0.500 0.000 0.750
0.000 0.000 0.137
0.000 0.000 0.863
0.500 0.500 0.363
0.500 0.500 0.637
0.000 0.000 0.500
0.500 0.500 0.000
```

---

3.
Compound: CaNi2Ge
Source: Alexandria via LeMat-Bulk
Functional: PBE-GGA
Structure: optimized geometry

Properties
raw total energy	-39.948	eV per cell
SG	No. 59
total magnetization	0.00	μB/f.u.
crystal system	orthorhombic

POSCAR file:
```
CaNi2Ge
1.0
4.069 0.000 0.000
0.000 6.586 0.000
0.000 0.000 5.347
Ca Ni Ge
2 4 2
Direct
0.250 0.250 0.128
0.750 0.750 0.872
0.250 0.060 0.613
0.250 0.440 0.613
0.750 0.560 0.387
0.750 0.940 0.387
0.250 0.750 0.374
0.750 0.250 0.626
```

---

4.
Compound: Nb2FeBAu
Source: Alexandria via LeMat-Bulk
Functional: PBE-GGA
Structure: optimized geometry

Properties
raw total energy	-35.797	eV per cell
SG	No. 123
total magnetization	0.00	μB/f.u.
crystal system	tetragonal

POSCAR file:
```
Nb2FeBAu
1.0
4.645 0.000 0.000
0.000 4.645 0.000
0.000 0.000 3.743
Nb Fe B Au
2 1 1 1
Direct
0.000 0.500 0.000
0.500 0.000 0.000
0.000 0.000 0.000
0.000 0.000 0.500
0.500 0.500 0.500
```

---

5.
Compound: SiTcRuC
Source: Alexandria via LeMat-Bulk
Functional: PBE-GGA
Structure: optimized geometry

Properties
raw total energy	-34.013	eV per cell
SG	No. 1
E above lowest polymorph	92	meV/atom
total magnetization	0.00	μB/f.u.
crystal system	triclinic
formation energy (no corrections)	0.069	eV/atom

POSCAR file:
```
SiTcRuC
1.0
2.837 0.000 0.000
-0.012 3.394 0.000
-1.387 -1.698 4.909
Si Tc Ru C
1 1 1 1
Direct
0.000 0.000 0.000
0.702 0.696 0.396
0.403 0.397 0.795
0.247 0.186 0.384
```

---

6.
Compound: SnSb3C
Source: Alexandria via LeMat-Bulk
Functional: PBE-GGA
Structure: optimized geometry

Properties
raw total energy	-14.843	eV per cell
SG	No. 221
E above lowest polymorph	1291	meV/atom
total magnetization	1.49	μB/f.u.
crystal system	cubic
formation energy (no corrections)	2.150	eV/atom

POSCAR file:
```
SnSb3C
1.0
5.668 0.000 0.000
0.000 5.668 0.000
0.000 0.000 5.668
Sn Sb C
1 3 1
Direct
0.000 0.000 0.000
0.000 0.000 0.500
0.000 0.500 0.000
0.500 0.000 0.000
0.500 0.500 0.500
```

---

7.
Compound: GdErTlRh
Source: Alexandria via LeMat-Bulk
Functional: PBE-GGA
Structure: optimized geometry

Properties
raw total energy	-121.242	eV per cell
SG	No. 216
total magnetization	7.04	μB/f.u.
crystal system	cubic

POSCAR file:
```
GdErTlRh
1.0
7.241 0.000 0.000
0.000 7.241 0.000
0.000 0.000 7.241
Gd Er Tl Rh
4 4 4 4
Direct
0.000 0.000 0.000
0.000 0.500 0.500
0.500 0.000 0.500
0.500 0.500 0.000
0.000 0.000 0.500
0.000 0.500 0.000
0.500 0.000 0.000
0.500 0.500 0.500
0.250 0.250 0.750
0.250 0.750 0.250
0.750 0.250 0.250
0.750 0.750 0.750
0.250 0.250 0.250
0.250 0.750 0.750
0.750 0.250 0.750
0.750 0.750 0.250
```

---

8.
Compound: MgH3Ir3
Source: Alexandria via LeMat-Bulk
Functional: PBE-GGA
Structure: optimized geometry

Properties
raw total energy	-76.679	eV per cell
SG	No. 38
E above lowest polymorph	14	meV/atom
total magnetization	0.00	μB/f.u.
crystal system	orthorhombic

POSCAR file:
```
MgH3Ir3
1.0
2.896 0.000 0.000
0.000 5.947 0.000
0.000 0.000 8.260
Mg H Ir
2 6 6
Direct
0.000 0.000 0.000
0.000 0.500 0.500
0.000 0.202 0.633
0.000 0.298 0.133
0.000 0.702 0.133
0.000 0.798 0.633
0.500 0.000 0.834
0.500 0.500 0.334
0.000 0.000 0.475
0.000 0.500 0.975
0.500 0.226 0.252
0.500 0.274 0.752
0.500 0.726 0.752
0.500 0.774 0.252
```

---

9.
Compound: Ba2AlSn3Au4
Source: Alexandria via LeMat-Bulk
Functional: PBE-GGA
Structure: optimized geometry

Properties
raw total energy	-38.550	eV per cell
SG	No. 115
total magnetization	0.00	μB/f.u.
crystal system	tetragonal

POSCAR file:
```
Ba2AlSn3Au4
1.0
4.817 0.000 0.000
0.000 4.817 0.000
0.000 0.000 11.245
Ba Al Sn Au
2 1 3 4
Direct
0.000 0.500 0.245
0.500 0.000 0.755
0.000 0.000 0.500
0.000 0.500 0.870
0.500 0.000 0.130
0.500 0.500 0.500
0.000 0.000 0.000
0.000 0.500 0.620
0.500 0.000 0.380
0.500 0.500 0.000
```

---

10.
Compound: HfTlPb2
Source: Alexandria via LeMat-Bulk
Functional: PBE-GGA
Structure: optimized geometry

Properties
raw total energy	-72.746	eV per cell
SG	No. 122
E above lowest polymorph	318	meV/atom
total magnetization	0.00	μB/f.u.
crystal system	tetragonal

POSCAR file:
```
HfTlPb2
1.0
8.650 0.000 0.000
0.000 8.650 0.000
0.000 0.000 6.254
Hf Tl Pb
4 4 8
Direct
0.000 0.000 0.000
0.000 0.500 0.250
0.500 0.000 0.750
0.500 0.500 0.500
0.000 0.000 0.500
0.000 0.500 0.750
0.500 0.000 0.250
0.500 0.500 0.000
0.222 0.250 0.125
0.250 0.722 0.375
0.250 0.778 0.875
0.278 0.250 0.625
0.722 0.750 0.625
0.750 0.222 0.875
0.750 0.278 0.375
0.778 0.750 0.125
```

---

11.
Compound: Ac12Co6Sn
Source: Alexandria via LeMat-Bulk
Functional: PBE-GGA
Structure: optimized geometry

Properties
raw total energy	-98.017	eV per cell
SG	No. 204
total magnetization	0.00	μB/f.u.
crystal system	cubic

POSCAR file:
```
Ac12Co6Sn
1.0
-5.315 5.315 5.315
5.315 -5.315 5.315
5.315 5.315 -5.315
Ac Co Sn
12 6 1
Direct
0.124 0.813 0.311
0.187 0.311 0.499
0.187 0.689 0.876
0.311 0.124 0.813
0.311 0.499 0.187
0.499 0.187 0.311
0.501 0.813 0.689
0.689 0.501 0.813
0.689 0.876 0.187
0.813 0.311 0.124
0.813 0.689 0.501
0.876 0.187 0.689
0.108 0.608 0.500
0.392 0.500 0.892
0.500 0.108 0.608
0.500 0.892 0.392
0.608 0.500 0.108
0.892 0.392 0.500
0.000 0.000 0.000
```

---

12.
Compound: SrCrSn2W
Source: Alexandria via LeMat-Bulk
Functional: PBE-GGA
Structure: optimized geometry

Properties
raw total energy	-30.221	eV per cell
SG	No. 123
total magnetization	3.36	μB/f.u.
crystal system	tetragonal

POSCAR file:
```
SrCrSn2W
1.0
5.294 0.000 0.000
0.000 5.294 0.000
0.000 0.000 4.941
Sr Cr Sn W
1 1 2 1
Direct
0.000 0.000 0.000
0.500 0.500 0.000
0.000 0.500 0.500
0.500 0.000 0.500
0.500 0.500 0.500
```

---

13.
Compound: Lu2BeAl
Source: Alexandria via LeMat-Bulk
Functional: PBE-GGA
Structure: optimized geometry

Properties
raw total energy	-68.357	eV per cell
SG	No. 225
E above lowest polymorph	38	meV/atom
total magnetization	0.00	μB/f.u.
crystal system	cubic

POSCAR file:
```
Lu2BeAl
1.0
6.879 0.000 0.000
0.000 6.879 0.000
0.000 0.000 6.879
Lu Be Al
8 4 4
Direct
0.250 0.250 0.250
0.250 0.250 0.750
0.250 0.750 0.250
0.250 0.750 0.750
0.750 0.250 0.250
0.750 0.250 0.750
0.750 0.750 0.250
0.750 0.750 0.750
0.000 0.000 0.000
0.000 0.500 0.500
0.500 0.000 0.500
0.500 0.500 0.000
0.000 0.000 0.500
0.000 0.500 0.000
0.500 0.000 0.000
0.500 0.500 0.500
```

---

14.
Compound: TcNiI3
Source: Alexandria via LeMat-Bulk
Functional: PBE-GGA
Structure: optimized geometry

Properties
raw total energy	-15.920	eV per cell
SG	No. 221
E above lowest polymorph	105	meV/atom
total magnetization	3.64	μB/f.u.
crystal system	cubic
formation energy (no corrections)	0.976	eV/atom

POSCAR file:
```
TcNiI3
1.0
5.483 0.000 0.000
0.000 5.483 0.000
0.000 0.000 5.483
Tc Ni I
1 1 3
Direct
0.000 0.000 0.000
0.500 0.500 0.500
0.000 0.000 0.500
0.000 0.500 0.000
0.500 0.000 0.000
```

---

15.
Compound: Cs2Pm2ZrSe6
Source: Alexandria via LeMat-Bulk
Functional: PBE-GGA
Structure: optimized geometry

Properties
raw total energy	-58.671	eV per cell
SG	No. 12
total magnetization	0.00	μB/f.u.
crystal system	monoclinic
formation energy (no corrections)	-1.637	eV/atom

POSCAR file:
```
Cs2Pm2ZrSe6
1.0
3.638 -6.248 0.000
3.638 6.248 0.000
-2.514 0.000 8.578
Cs Pm Zr Se
2 2 1 6
Direct
0.171 0.829 0.000
0.829 0.171 0.000
0.333 0.667 0.500
0.667 0.333 0.500
0.000 0.000 0.500
0.065 0.376 0.684
0.247 0.247 0.318
0.376 0.065 0.684
0.624 0.935 0.316
0.753 0.753 0.682
0.935 0.624 0.316
```

---

16.
Compound: CaZnTe
Source: Alexandria via LeMat-Bulk
Functional: PBE-GGA
Structure: optimized geometry

Properties
raw total energy	-31.318	eV per cell
SG	No. 216
E above lowest polymorph	216	meV/atom
total magnetization	0.00	μB/f.u.
crystal system	cubic
formation energy (no corrections)	-0.471	eV/atom

POSCAR file:
```
CaZnTe
1.0
7.509 0.000 0.000
0.000 7.509 0.000
0.000 0.000 7.509
Ca Zn Te
4 4 4
Direct
0.000 0.000 0.000
0.000 0.500 0.500
0.500 0.000 0.500
0.500 0.500 0.000
0.000 0.000 0.500
0.000 0.500 0.000
0.500 0.000 0.000
0.500 0.500 0.500
0.250 0.250 0.750
0.250 0.750 0.250
0.750 0.250 0.250
0.750 0.750 0.750
```

---

17.
Compound: K2LiMgFe
Source: Alexandria via LeMat-Bulk
Functional: PBE-GGA
Structure: optimized geometry

Properties
raw total energy	-9.920	eV per cell
SG	No. 123
total magnetization	2.43	μB/f.u.
crystal system	tetragonal

POSCAR file:
```
K2LiMgFe
1.0
6.358 0.000 0.000
0.000 6.358 0.000
0.000 0.000 5.016
K Li Mg Fe
2 1 1 1
Direct
0.000 0.500 0.000
0.500 0.000 0.000
0.000 0.000 0.500
0.500 0.500 0.500
0.000 0.000 0.000
```

---

18.
Compound: MoIrOs2
Source: Alexandria via LeMat-Bulk
Functional: PBE-GGA
Structure: optimized geometry

Properties
raw total energy	-41.854	eV per cell
SG	No. 123
E above lowest polymorph	174	meV/atom
total magnetization	0.00	μB/f.u.
crystal system	tetragonal

POSCAR file:
```
MoIrOs2
1.0
2.749 0.000 0.000
0.000 2.749 0.000
0.000 0.000 7.816
Mo Ir Os
1 1 2
Direct
0.000 0.000 0.000
0.000 0.000 0.500
0.500 0.500 0.252
0.500 0.500 0.748
```

---

19.
Compound: PrHoTlZn
Source: Alexandria via LeMat-Bulk
Functional: PBE-GGA
Structure: optimized geometry

Properties
raw total energy	-57.048	eV per cell
SG	No. 216
E above lowest polymorph	32	meV/atom
total magnetization	0.00	μB/f.u.
crystal system	cubic

POSCAR file:
```
PrHoTlZn
1.0
7.536 0.000 0.000
0.000 7.536 0.000
0.000 0.000 7.536
Pr Ho Tl Zn
4 4 4 4
Direct
0.000 0.000 0.000
0.000 0.500 0.500
0.500 0.000 0.500
0.500 0.500 0.000
0.000 0.000 0.500
0.000 0.500 0.000
0.500 0.000 0.000
0.500 0.500 0.500
0.250 0.250 0.250
0.250 0.750 0.750
0.750 0.250 0.750
0.750 0.750 0.250
0.250 0.250 0.750
0.250 0.750 0.250
0.750 0.250 0.250
0.750 0.750 0.750
```

---

20.
Compound: Nd3Ge4Ir2
Source: Alexandria via LeMat-Bulk
Functional: PBE-GGA
Structure: optimized geometry

Properties
raw total energy	-57.810	eV per cell
SG	No. 12
E above lowest polymorph	0	meV/atom
total magnetization	0.00	μB/f.u.
crystal system	monoclinic

POSCAR file:
```
Nd3Ge4Ir2
1.0
5.621 -2.172 0.000
5.621 2.172 0.000
-2.758 0.000 7.936
Nd Ge Ir
3 4 2
Direct
0.000 0.000 0.000
0.381 0.381 0.303
0.619 0.619 0.697
0.097 0.097 0.396
0.290 0.290 0.923
0.710 0.710 0.077
0.903 0.903 0.604
0.307 0.307 0.633
0.693 0.693 0.367
```

---

21.
Compound: MnAg
Source: Alexandria via LeMat-Bulk
Functional: PBE-GGA
Structure: optimized geometry

Properties
raw total energy	-21.240	eV per cell
SG	No. 194
total magnetization	4.34	μB/f.u.
crystal system	hexagonal

POSCAR file:
```
MnAg
1.0
3.939 0.000 0.000
-1.969 3.411 0.000
0.000 0.000 5.920
Mn Ag
2 2
Direct
0.333 0.667 0.250
0.667 0.333 0.750
0.000 0.000 0.000
0.000 0.000 0.500
```

---

22.
Compound: MnGa2Ni
Source: Alexandria via LeMat-Bulk
Functional: PBE-GGA
Structure: optimized geometry

Properties
raw total energy	-64.672	eV per cell
SG	No. 160
total magnetization	2.26	μB/f.u.
crystal system	trigonal

POSCAR file:
```
MnGa2Ni
1.0
2.773 0.000 0.000
-1.386 2.401 0.000
0.000 0.000 23.926
Mn Ga Ni
3 6 3
Direct
0.000 0.000 0.000
0.333 0.667 0.667
0.667 0.333 0.333
0.000 0.000 0.248
0.000 0.000 0.420
0.333 0.667 0.086
0.333 0.667 0.914
0.667 0.333 0.581
0.667 0.333 0.753
0.000 0.000 0.834
0.333 0.667 0.501
0.667 0.333 0.167
```

---

23.
Compound: Ni3BPd
Source: Alexandria via LeMat-Bulk
Functional: PBE-GGA
Structure: optimized geometry

Properties
raw total energy	-18.878	eV per cell
SG	No. 221
E above lowest polymorph	1880	meV/atom
total magnetization	3.19	μB/f.u.
crystal system	cubic

POSCAR file:
```
Ni3BPd
1.0
4.547 0.000 0.000
0.000 4.547 0.000
0.000 0.000 4.547
Ni B Pd
3 1 1
Direct
0.000 0.000 0.500
0.000 0.500 0.000
0.500 0.000 0.000
0.500 0.500 0.500
0.000 0.000 0.000
```

---

24.
Compound: MgZn2In
Source: Alexandria via LeMat-Bulk
Functional: PBE-GGA
Structure: optimized geometry

Properties
raw total energy	-25.055	eV per cell
SG	No. 122
total magnetization	0.00	μB/f.u.
crystal system	tetragonal

POSCAR file:
```
MgZn2In
1.0
7.753 0.000 0.000
0.000 7.753 0.000
0.000 0.000 5.807
Mg Zn In
4 8 4
Direct
0.000 0.000 0.000
0.000 0.500 0.250
0.500 0.000 0.750
0.500 0.500 0.500
0.249 0.750 0.625
0.250 0.249 0.375
0.250 0.251 0.875
0.251 0.750 0.125
0.749 0.250 0.125
0.750 0.749 0.875
0.750 0.751 0.375
0.751 0.250 0.625
0.000 0.000 0.500
0.000 0.500 0.750
0.500 0.000 0.250
0.500 0.500 0.000
```

---

25.
Compound: LaBeCu2Te
Source: Alexandria via LeMat-Bulk
Functional: PBE-GGA
Structure: optimized geometry

Properties
raw total energy	-14.091	eV per cell
SG	No. 123
total magnetization	0.38	μB/f.u.
crystal system	tetragonal
formation energy (no corrections)	1.179	eV/atom

POSCAR file:
```
LaBeCu2Te
1.0
5.357 0.000 0.000
0.000 5.357 0.000
0.000 0.000 6.106
La Be Cu Te
1 1 2 1
Direct
0.000 0.000 0.000
0.500 0.500 0.500
0.000 0.500 0.000
0.500 0.000 0.000
0.000 0.000 0.500
```

---

26.
Compound: MnCrCl2
Source: Alexandria via LeMat-Bulk
Functional: PBE-GGA
Structure: optimized geometry

Properties
raw total energy	-81.320	eV per cell
SG	No. 216
E above lowest polymorph	811	meV/atom
total magnetization	9.59	μB/f.u.
crystal system	cubic
formation energy (no corrections)	0.539	eV/atom

POSCAR file:
```
MnCrCl2
1.0
6.879 0.000 0.000
0.000 6.879 0.000
0.000 0.000 6.879
Mn Cr Cl
4 4 8
Direct
0.000 0.000 0.000
0.000 0.500 0.500
0.500 0.000 0.500
0.500 0.500 0.000
0.250 0.250 0.250
0.250 0.750 0.750
0.750 0.250 0.750
0.750 0.750 0.250
0.000 0.000 0.500
0.000 0.500 0.000
0.250 0.250 0.750
0.250 0.750 0.250
0.500 0.000 0.000
0.500 0.500 0.500
0.750 0.250 0.250
0.750 0.750 0.750
```